Record 1
K2BaBe2Se4: optimized geometry, PBE.

Results
final energy	-3.982	eV per atom
space group	C2/m (12)
DOS(E_F)	0.000	states/eV/atom
energy relative to the elements, uncorrected	-1.148	eV/atom

a b c (Å): 4.1178 9.0225 8.6722
angles (deg): 119.91 103.73 90.00
Fractional coordinates of all 9 atoms:
Se  0.4744  0.2476  0.9488
Se  0.5256  0.7524  0.0512
Se  0.2196  0.1268  0.4391
Se  0.7804  0.8732  0.5609
K  0.1186  0.5850  0.2371
K  0.8814  0.4150  0.7629
Be  0.3274  0.0462  0.6549
Be  0.6726  0.9538  0.3451
Ba  0.0000  0.0000  0.0000

---

Record 2
KBaBeSe2: optimized geometry, PBE.

Results
final energy	-3.651	eV per atom
space group	P2/c (13)
DOS(E_F)	0.584	states/eV/atom
energy relative to the elements, uncorrected	-0.908	eV/atom

a b c (Å): 4.8788 7.8963 9.3838
angles (deg): 103.05 90.00 90.00
Fractional coordinates of all 10 atoms:
Se  0.2108  0.7666  0.4637
Se  0.7892  0.7666  0.9637
Se  0.2108  0.2334  0.0363
Se  0.7892  0.2334  0.5363
Ba  0.4798  0.0000  0.2500
Ba  0.5202  0.0000  0.7500
Be  0.0000  0.0000  0.5000
Be  0.0000  0.0000  0.0000
K  0.2271  0.5000  0.7500
K  0.7729  0.5000  0.2500

---

Record 3
K2BaBeSn: optimized geometry, PBE.

Results
final energy	-1.857	eV per atom
space group	P4/mmm (123)
DOS(E_F)	1.193	states/eV/atom

a b c (Å): 5.8932 6.3757 5.8932
angles (deg): 90.00 90.00 90.00
Fractional coordinates of all 5 atoms:
Be  0.0000  0.0000  0.0000
Sn  0.5000  0.5000  0.5000
K  0.0000  0.0000  0.5000
K  0.5000  0.0000  0.0000
Ba  0.0000  0.5000  0.0000

---

Record 4
BaLa2Be: optimized geometry, PBE.

Results
final energy	-3.404	eV per atom
space group	I-4m2 (119)
DOS(E_F)	1.095	states/eV/atom

a b c (Å): 6.2480 6.2480 6.2480
angles (deg): 133.33 133.33 68.13
Fractional coordinates of all 4 atoms:
Be  0.7500  0.2500  0.5000
La  0.2500  0.7500  0.5000
La  0.0000  0.0000  0.0000
Ba  0.5000  0.5000  0.0000

---

Record 5
BaLa3Be: optimized geometry, PBE.

Results
final energy	-2.809	eV per atom
space group	Pm-3m (221)
energy relative to the lowest polymorph listed for this composition	1005.6	meV per atom
DOS(E_F)	1.664	states/eV/atom

a b c (Å): 5.8816 5.8816 5.8816
angles (deg): 90.00 90.00 90.00
Fractional coordinates of all 5 atoms:
La  0.0000  0.0000  0.5000
La  0.0000  0.5000  0.0000
La  0.5000  0.0000  0.0000
Ba  0.0000  0.0000  0.0000
Be  0.5000  0.5000  0.5000

---

Record 6
BaLa2Be: optimized geometry, PBE.

Results
final energy	-3.600	eV per atom
space group	Immm (71)
DOS(E_F)	1.314	states/eV/atom

a b c (Å): 7.0223 7.0223 5.8808
angles (deg): 65.27 65.27 31.08
Fractional coordinates of all 4 atoms:
Ba  0.7500  0.7500  0.7500
La  0.9499  0.9499  0.0505
La  0.5501  0.5501  0.4495
Be  0.2500  0.2500  0.2500

---

Record 7
Ba2LaBe: optimized geometry, PBE.

Results
final energy	-2.878	eV per atom
space group	Pm (6)
DOS(E_F)	1.192	states/eV/atom

a b c (Å): 3.9081 3.9054 11.0933
angles (deg): 69.44 90.00 90.00
Fractional coordinates of all 4 atoms:
Ba  0.5000  0.1656  0.3337
Ba  0.0000  0.0265  0.9752
Be  0.0000  0.4695  0.5295
La  0.5000  0.8384  0.6615

---

Record 8
BaLa2Be: optimized geometry, PBE.

Results
final energy	-3.409	eV per atom
space group	I4/mmm (139)
DOS(E_F)	1.231	states/eV/atom

a b c (Å): 6.1585 6.1585 6.1585
angles (deg): 132.17 132.17 69.96
Fractional coordinates of all 4 atoms:
La  0.0000  0.0000  0.0000
La  0.5000  0.5000  0.0000
Ba  0.2500  0.7500  0.5000
Be  0.7500  0.2500  0.5000

---

Record 9
Ba2LaBe: optimized geometry, PBE.

Results
final energy	-2.772	eV per atom
space group	Immm (71)
DOS(E_F)	1.391	states/eV/atom

a b c (Å): 9.5541 9.5541 9.5541
angles (deg): 157.05 150.70 37.54
Fractional coordinates of all 4 atoms:
Ba  0.5943  0.5943  0.0000
Ba  0.9057  0.9057  0.0000
Be  0.7500  0.2500  0.5000
La  0.2500  0.7500  0.5000

---

Record 10
Ba2LaBe: optimized geometry, PBE.

Results
final energy	-2.711	eV per atom
space group	P4/mmm (123)
DOS(E_F)	1.763	states/eV/atom

a b c (Å): 3.9178 3.9199 10.1704
angles (deg): 90.00 90.00 90.00
Fractional coordinates of all 4 atoms:
Ba  0.0000  0.0000  0.0634
Ba  0.0000  0.0000  0.4366
Be  0.5000  0.5000  0.2500
La  0.5000  0.5000  0.7500

---

Record 11
Ba2La2Be: optimized geometry, PBE.

Results
final energy	-2.919	eV per atom
space group	I4/mmm (139)
energy relative to the lowest polymorph listed for this composition	0.0	meV per atom
DOS(E_F)	1.261	states/eV/atom

a b c (Å): 4.3533 4.3533 11.4800
angles (deg): 79.07 79.07 90.00
Fractional coordinates of all 5 atoms:
La  0.2500  0.7500  0.5000
La  0.7500  0.2500  0.5000
Be  0.0000  0.0000  0.0000
Ba  0.4165  0.4165  0.1671
Ba  0.5835  0.5835  0.8329

---

Record 12
Ba2LaBe: optimized geometry, PBE.

Results
final energy	-2.555	eV per atom
space group	Pmmm (47)
DOS(E_F)	1.095	states/eV/atom

a b c (Å): 4.5916 5.5244 5.8359
angles (deg): 90.00 90.00 90.00
Fractional coordinates of all 4 atoms:
Ba  0.0000  0.0000  0.0000
Ba  0.5000  0.5000  0.0000
La  0.0000  0.5000  0.5000
Be  0.5000  0.0000  0.5000

---

Which value of final energy does entry 9 give? -2.772 eV per atom

---

The lowest final energy belongs to which entry? K2BaBe2Se4

---

Which of these has the highest DOS(E_F)? number 10